## ZnAs2Pb2 (PBE)

Data for a relaxed structure of ZnAs2Pb2.

```
data_ZnAs2Pb2
_chemical_formula_sum 'Zn1 As2 Pb2'
_symmetry_space_group_name_H-M 'P 1'
_symmetry_Int_Tables_number 1
_cell_length_a 9.3889
_cell_length_b 9.3889
_cell_length_c 9.3889
_cell_angle_alpha 156.88
_cell_angle_beta 156.88
_cell_angle_gamma 32.92
loop_
_symmetry_equiv_pos_as_xyz
'x,y,z'
loop_
_atom_site_label
_atom_site_type_symbol
_atom_site_fract_x
_atom_site_fract_y
_atom_site_fract_z
_atom_site_occupancy
Zn1 Zn 0.0000 0.0000 0.0000 1
As1 As 0.2500 0.7500 0.5000 1
As2 As 0.7500 0.2500 0.5000 1
Pb1 Pb 0.4006 0.4006 0.0000 1
Pb2 Pb 0.5994 0.5994 0.0000 1
```

Volume (A^3/atom): 25.50
ΔE_f (meV per atom): 187.6
Distance to the lowest polymorph of the same formula (kJ/mol of formula units): 11
Density of states at the Fermi level (states/eV/cell): 2.64
Final energy (eV per atom): -3.4103
Symmetry: No. 139